A relaxed structure of Zr4Ga6Ru7. Source: the Alexandria database, functional PBE.

a = 7.1126 Å, b = 7.1126 Å, c = 7.1126 Å
α = 109.47°, β = 109.47°, γ = 109.47°
Last column: nearest neighbours and their distance in Å.
Fractional coordinates of all 17 atoms:
Zr  0.0000  0.5000  0.0000  6 Ru 2.90, 6 Ga 2.94
Zr  0.5000  0.5000  0.5000  6 Ru 2.90, 6 Ga 2.94
Zr  0.0000  0.0000  0.5000  6 Ru 2.90, 6 Ga 2.94
Zr  0.5000  0.0000  0.0000  6 Ru 2.90, 6 Ga 2.94
Ru  0.5000  0.2500  0.7500  4 Ga 2.60, 4 Ru 2.90, 4 Zr 2.90
Ru  0.2500  0.5000  0.7500  4 Ga 2.60, 4 Ru 2.90, 4 Zr 2.90
Ru  0.7500  0.5000  0.2500  4 Ga 2.60, 4 Ru 2.90, 4 Zr 2.90
Ru  0.5000  0.7500  0.2500  4 Ga 2.60, 4 Ru 2.90, 4 Zr 2.90
Ru  0.0000  0.0000  0.0000  6 Ga 2.52
Ru  0.2500  0.7500  0.5000  4 Ga 2.60, 4 Zr 2.90, 4 Ru 2.90
Ru  0.7500  0.2500  0.5000  4 Ga 2.60, 4 Zr 2.90, 4 Ru 2.90
Ga  0.6935  0.6935  0.0000  5 Ru 2.52-2.60
Ga  0.6935  0.0000  0.6935  5 Ru 2.52-2.60
Ga  0.3065  0.3065  0.0000  5 Ru 2.52-2.60
Ga  0.0000  0.6935  0.6935  5 Ru 2.52-2.60
Ga  0.0000  0.3065  0.3065  5 Ru 2.52-2.60
Ga  0.3065  0.0000  0.3065  5 Ru 2.52-2.60

## Properties
Mass density = 8.94 g/cm³
Symmetry = Im-3m (229)
Total energy = -7.354 eV per atom
Energy of formation = -747 kJ/mol of formula units